The following is a GGA-PBE calculation of an optimized crystal structure of MnMo2, from the Alexandria database.

Unit cell a=7.744 b=7.744 c=4.533 alpha=90.00 beta=90.00 gamma=160.77
Last column: magnetic moment on the atom in μB.
Element x y z (fractional)
Mn 0.281 0.719 0.250  2.31
Mn 0.719 0.281 0.750  2.31
Mo 0.372 0.628 0.750  -0.11
Mo 0.950 0.050 0.250  0.00
Mo 0.050 0.950 0.750  0.00
Mo 0.628 0.372 0.250  -0.11

Calculated values
* calculated density: 9.16 g/cm3
* symmetry: Cmcm
* magnetic moment: 2.272 μB per formula unit
* ΔE_f: 0.96 eV/f.u.
* Fermi-level density of states: 1.1362 states/eV per atom